{"formula": "Ba3MgTc", "functional": "PBE-GGA", "state": "optimized geometry", "cell": [[-4.122, -0.630, -4.242], [-0.763, -5.682, 1.586], [-4.220, 1.643, 3.857]], "species": ["Tc", "Ba", "Ba", "Mg", "Ba"], "frac_coords": [[0.000, 0.000, 0.000], [0.500, 0.000, 0.000], [0.000, 0.000, 0.500], [0.500, 0.500, 0.500], [0.000, 0.500, 0.000]], "mass_density_g_cm3": 4.2, "relative_energy_ev_per_atom": 0.000, "formation_energy_ev_per_fu": 2.32}